Entry from Alexandria: a relaxed structure of Ac3Th2Ir4 (PBE-GGA).

```
data_Ac3Th2Ir4
_cell_length_a 14.422
_cell_length_b 4.318
_cell_length_c 10.722
_cell_angle_alpha 90.00
_cell_angle_beta 123.76
_cell_angle_gamma 90.00
_symmetry_space_group_name_H-M 'C 1 2/m 1'
_symmetry_Int_Tables_number 12
_symmetry_space_group_name_Hall '-C 2y'
loop_
_atom_site_label
_atom_site_fract_x
_atom_site_fract_y
_atom_site_fract_z
_atom_site_occupancy
Ac1 0.000 0.000 0.000 1
Ac2 0.189 0.000 0.798 1
Th1 0.121 0.500 0.378 1
Ir1 0.085 0.500 0.879 1
Ir2 0.222 0.000 0.318 1
```

Computed properties:
V: 555.1 Å³/cell
formation enthalpy at 0 K: -0.71 eV/atom
ρ: 11.45 g cm⁻³